A plane-wave DFT calculation with PBE with a Hubbard U was carried out for a geometry-optimized Mo2RuWF structure.

abc: 4.8170 3.8147 4.8170
angles: 90.00 90.00 90.00
With the nearest neighbours (Å) after each atom.
Sites, in units of the cell vectors:
Mo1 0.5000 0.0000 0.0000  2 Ru 2.41
Mo2 0.0000 0.0000 0.5000  2 Ru 2.41
Ru1 0.0000 0.0000 0.0000  2 F 1.91
W1 0.5000 0.5000 0.5000  8 Mo 3.07, 4 F 3.41
F1 0.0000 0.5000 0.0000  2 Ru 1.91

## Properties
- Raw total energy: -4.832 eV/atom
- SG: P4/mmm (123)